# 1
VASP calculation (PBE-GGA) on crystalline BW at its relaxed geometry.

POSCAR file:
```
BW
1.0
4.4603 0.0000 0.0000
0.0000 4.8692 0.0000
0.0000 0.0000 8.0819
B W
8 8
direct
0.1101 0.0775 0.0169 B
0.1402 0.7006 0.6532 B
0.3598 0.2994 0.1532 B
0.3899 0.9225 0.5169 B
0.6101 0.4225 0.9831 B
0.6402 0.7994 0.3468 B
0.8598 0.2006 0.8468 B
0.8899 0.5775 0.4831 B
0.1298 0.5958 0.9465 W
0.1391 0.8872 0.2726 W
0.3609 0.1128 0.7726 W
0.3702 0.4042 0.4465 W
0.6298 0.9042 0.0535 W
0.6391 0.6128 0.7274 W
0.8609 0.3872 0.2274 W
0.8702 0.0958 0.5535 W
```

Computed properties:
Energy relative to the elements   -12.6 kJ per mole of atoms
DOS at the Fermi energy   4.0 states/eV/cell
Space group   P2_12_12_1, No. 19

---

# 2
VASP calculation (PBE-GGA) on crystalline La3Ce2NdAs6 at its relaxed geometry.

POSCAR file:
```
La3Ce2NdAs6
1.0
3.7275 -6.4551 0.0000
3.7275 6.4551 0.0000
-2.4847 0.0000 7.0411
La Ce Nd As
3 2 1 6
direct
0.0000 0.0000 0.0000 La
0.3342 0.6658 0.0000 La
0.6658 0.3342 0.0000 La
0.1669 0.8331 0.5000 Ce
0.8331 0.1669 0.5000 Ce
0.5000 0.5000 0.5000 Nd
0.0822 0.4195 0.2587 As
0.2430 0.2430 0.7412 As
0.4195 0.0822 0.2587 As
0.5805 0.9178 0.7413 As
0.7570 0.7570 0.2588 As
0.9178 0.5805 0.7413 As
```

Computed properties:
Energy relative to the elements   -146.4 kJ per mole of atoms
DOS at the Fermi energy   11.6 states/eV/cell
Space group   C2/m, No. 12

---

# 3
VASP calculation (PBE-GGA) on crystalline TbGdHoZr at its relaxed geometry.

POSCAR file:
```
TbGdHoZr
1.0
0.0000 3.8766 3.8766
3.8766 0.0000 3.8766
3.8766 3.8766 0.0000
Tb Gd Ho Zr
1 1 1 1
direct
0.0000 0.0000 0.0000 Tb
0.5000 0.5000 0.5000 Gd
0.7500 0.7500 0.7500 Ho
0.2500 0.2500 0.2500 Zr
```

Computed properties:
Energy relative to the elements   21.5 kJ per mole of atoms
DOS at the Fermi energy   9.3 states/eV/cell
Space group   F-43m, No. 216

---

# 4
VASP calculation (PBE-GGA) on crystalline Li2HgPd6 at its relaxed geometry.

POSCAR file:
```
Li2HgPd6
1.0
4.0295 -2.7923 0.0000
4.0295 2.7923 0.0000
-2.8141 0.0000 6.3155
Li Hg Pd
2 1 6
direct
0.1552 0.1552 0.1032 Li
0.8448 0.8448 0.8968 Li
0.5000 0.5000 0.0000 Hg
0.1607 0.6849 0.2816 Pd
0.2620 0.2620 0.5177 Pd
0.3151 0.8393 0.7184 Pd
0.6849 0.1607 0.2816 Pd
0.7380 0.7380 0.4823 Pd
0.8393 0.3151 0.7184 Pd
```

Computed properties:
Energy relative to the elements   -16.0 kJ per mole of atoms
DOS at the Fermi energy   8.9 states/eV/cell
Space group   C2/m, No. 12

---

# 5
VASP calculation (PBE-GGA) on crystalline YAs2Ir at its relaxed geometry.

POSCAR file:
```
YAs2Ir
1.0
3.2603 0.0000 0.0000
0.0000 3.2603 0.0000
0.0000 0.0000 7.0154
Y As Ir
1 2 1
direct
0.0000 0.0000 0.0000 Y
0.5000 0.5000 0.2911 As
0.5000 0.5000 0.7089 As
0.0000 0.0000 0.5000 Ir
```

Computed properties:
Energy relative to the elements   -21.8 kJ per mole of atoms
DOS at the Fermi energy   3.2 states/eV/cell
Space group   P4/mmm, No. 123

---

# 6
VASP calculation (PBE-GGA) on crystalline ZnReSi2Rh at its relaxed geometry.

POSCAR file:
```
ZnReSi2Rh
1.0
4.6079 0.0000 0.0000
0.0000 4.6079 0.0000
0.0000 0.0000 4.9243
Zn Re Si Rh
1 1 2 1
direct
0.0000 0.0000 0.0000 Zn
0.5000 0.5000 0.5000 Re
0.0000 0.5000 0.5000 Si
0.5000 0.0000 0.5000 Si
0.5000 0.5000 0.0000 Rh
```

Computed properties:
DOS at the Fermi energy   4.7 states/eV/cell
ΔE_f (raw)   830 meV per atom
Space group   P4/mmm, No. 123

---

# 7
VASP calculation (PBE-GGA) on crystalline AcSmHg4 at its relaxed geometry.

POSCAR file:
```
AcSmHg4
1.0
3.6552 0.0000 0.0000
0.0000 5.1233 0.0000
0.0000 0.0000 8.7738
Ac Sm Hg
1 1 4
direct
0.0000 0.0000 0.0000 Ac
0.0000 0.5000 0.5000 Sm
0.5000 0.0000 0.3384 Hg
0.5000 0.0000 0.6616 Hg
0.5000 0.5000 0.1746 Hg
0.5000 0.5000 0.8254 Hg
```

Computed properties:
Energy relative to the elements   -41.0 kJ per mole of atoms
DOS at the Fermi energy   5.0 states/eV/cell
Space group   Pmmm, No. 47

---

# 8
VASP calculation (PBE-GGA) on crystalline LiNpIn2O8 at its relaxed geometry.

POSCAR file:
```
LiNpIn2O8
1.0
4.3590 0.0000 0.0000
0.0000 6.4769 0.0000
-0.2733 0.0000 5.4227
Li Np In O
1 1 2 8
direct
0.0000 0.0000 0.0000 Li
0.0000 0.5000 0.0000 Np
0.5000 0.2543 0.5000 In
0.5000 0.7457 0.5000 In
0.1456 0.0000 0.5799 O
0.2362 0.2655 0.1492 O
0.2362 0.7345 0.1492 O
0.2523 0.5000 0.6720 O
0.7477 0.5000 0.3280 O
0.7638 0.2655 0.8508 O
0.7638 0.7345 0.8508 O
0.8544 0.0000 0.4201 O
```

Computed properties:
ΔE_f (raw)   -1694 meV per atom
Space group   P2/m, No. 10

---

# 9
VASP calculation (PBE-GGA) on crystalline CrNiRh at its relaxed geometry.

POSCAR file:
```
CrNiRh
1.0
5.5874 0.0000 0.0000
0.0000 4.0053 0.0000
0.0000 0.0000 4.2528
Cr Ni Rh
2 2 2
direct
0.2500 0.0000 0.0088 Cr
0.7500 0.0000 0.9912 Cr
0.2500 0.5000 0.6157 Ni
0.7500 0.5000 0.3843 Ni
0.0000 0.0000 0.5000 Rh
0.5000 0.0000 0.5000 Rh
```

Computed properties:
Energy relative to the elements   55.2 kJ per mole of atoms
DOS at the Fermi energy   8.2 states/eV/cell
Space group   Pmma, No. 51

---

# 10
VASP calculation (PBE-GGA) on crystalline Pr12YTm6 at its relaxed geometry.

POSCAR file:
```
Pr12YTm6
1.0
6.1004 3.5221 5.1339
-6.1004 3.5221 5.1339
0.0000 -7.0441 5.1339
Pr Y Tm
12 1 6
direct
0.0357 0.2833 0.9331 Pr
0.0669 0.9643 0.7167 Pr
0.1348 0.3080 0.4817 Pr
0.2833 0.9331 0.0357 Pr
0.3080 0.4817 0.1348 Pr
0.4817 0.1348 0.3080 Pr
0.5183 0.8652 0.6920 Pr
0.6920 0.5183 0.8652 Pr
0.7167 0.0669 0.9643 Pr
0.8652 0.6920 0.5183 Pr
0.9331 0.0357 0.2833 Pr
0.9643 0.7167 0.0669 Pr
0.5000 0.5000 0.5000 Y
0.2060 0.6009 0.7582 Tm
0.2418 0.7940 0.3991 Tm
0.3991 0.2418 0.7940 Tm
0.6009 0.7582 0.2060 Tm
0.7582 0.2060 0.6009 Tm
0.7940 0.3991 0.2418 Tm
```

Computed properties:
Energy relative to the elements   12.4 kJ per mole of atoms
DOS at the Fermi energy   32.5 states/eV/cell
Space group   R-3, No. 148

---

# 11
VASP calculation (PBE-GGA) on crystalline TlCd2HgAs at its relaxed geometry.

POSCAR file:
```
TlCd2HgAs
1.0
7.7158 0.0000 0.0000
0.0000 4.3764 0.0000
-3.5390 0.0000 8.4074
Tl Cd Hg As
2 4 2 2
direct
0.2042 0.2500 0.1773 Tl
0.7958 0.7500 0.8227 Tl
0.1233 0.7500 0.5980 Cd
0.3870 0.2500 0.8673 Cd
0.6130 0.7500 0.1327 Cd
0.8767 0.2500 0.4020 Cd
0.3966 0.2500 0.5532 Hg
0.6034 0.7500 0.4468 Hg
0.2239 0.7500 0.9390 As
0.7761 0.2500 0.0610 As
```

Computed properties:
Energy relative to the elements   0.8 kJ per mole of atoms
DOS at the Fermi energy   2.7 states/eV/cell
Space group   P2_1/m, No. 11

---

# 12
VASP calculation (PBE-GGA) on crystalline TeP2Os at its relaxed geometry.

POSCAR file:
```
TeP2Os
1.0
-1.4944 2.5868 5.0884
1.4944 -2.5868 5.0884
1.4944 2.5868 -5.0884
Te P Os
1 2 1
direct
0.0000 0.0000 0.0000 Te
0.3171 0.8171 0.5000 P
0.6829 0.1829 0.5000 P
0.5000 0.5000 0.0000 Os
```

Computed properties:
DOS at the Fermi energy   2.5 states/eV/cell
ΔE_f (raw)   519 meV per atom
Space group   Immm, No. 71

---

Number 1: size of the total moment 0.00 μB/f.u.. Number 2: size of the total moment 1.26 μB/f.u.. Number 3: size of the total moment 5.70 μB/f.u.. Number 4: size of the total moment 0.00 μB/f.u.. Number 5: size of the total moment 0.00 μB/f.u.. Number 6: size of the total moment 0.00 μB/f.u.. Number 7: size of the total moment 0.00 μB/f.u.. Number 8: size of the total moment 0.00 μB/f.u.. Number 9: size of the total moment 2.70 μB/f.u.. Number 10: size of the total moment 0.00 μB/f.u.. Number 11: size of the total moment 0.00 μB/f.u.. Number 12: size of the total moment 0.00 μB/f.u..